P:
A relaxed structure of AgHg2Au2. Source: the Open Quantum Materials Database, functional GGA-PBE.

Cell lengths 7.0424, 7.0424, 7.0424 Å; angles 146.22, 146.22, 48.52 degrees
Sites, in units of the cell vectors:
Ag 0.0000 0.0000 0.0000
Au 0.7500 0.2500 0.5000
Au 0.2500 0.7500 0.5000
Hg 0.3984 0.3984 0.0000
Hg 0.6016 0.6016 0.0000

Properties
The crystal system is tetragonal.

Q:
A relaxed structure of AgHg2Au2. Source: the Open Quantum Materials Database, functional GGA-PBE.

Cell lengths 6.9225, 6.9225, 6.9225 Å; angles 144.23, 144.23, 51.49 degrees
Sites, in units of the cell vectors:
Ag 0.0000 0.0000 0.0000
Au 0.3973 0.3973 0.0000
Au 0.6027 0.6027 0.0000
Hg 0.7500 0.2500 0.5000
Hg 0.2500 0.7500 0.5000

Properties
The crystal system is tetragonal.

So which one is most stable? That would be P, about 21 meV per atom below the next structure.

P:
A relaxed structure of ZrAgHgAu. Source: the Open Quantum Materials Database, functional GGA-PBE.

Cell lengths 4.8039, 4.8039, 4.8039 Å; angles 60.00, 60.00, 60.00 degrees
Sites, in units of the cell vectors:
Ag 0.5000 0.5000 0.5000
Au 0.7500 0.7500 0.7500
Hg 0.2500 0.2500 0.2500
Zr 0.0000 0.0000 0.0000

Properties
The crystal system is cubic.

Q:
A relaxed structure of ZrAgHgAu. Source: the Open Quantum Materials Database, functional GGA-PBE.

Cell lengths 4.7915, 4.7915, 4.7915 Å; angles 60.00, 60.00, 60.00 degrees
Sites, in units of the cell vectors:
Ag 0.0000 0.0000 0.0000
Au 0.7500 0.7500 0.7500
Hg 0.5000 0.5000 0.5000
Zr 0.2500 0.2500 0.2500

Properties
The crystal system is cubic.

So which one is most stable? That would be P, about 97 meV per atom below the next structure.